Here is a relaxed structure of MnCo3Se from Alexandria. Energies are from PBE-GGA.

abc: 4.2982 4.2982 4.2982
angles: 90.00 90.00 90.00
Last column: nearest neighbours and their distance in Å.
Space group Pm-3m (No. 221)
One atom of each set of equivalent atoms:
Mn  0.0000  0.0000  0.0000  12 Co 3.04
Co  0.0000  0.5000  0.5000  2 Se 2.15
Se  0.5000  0.5000  0.5000  6 Co 2.15

## Properties
**Crystal system**: cubic
**E_tot**: -30.71 eV per cell
**Spin magnetization**: 7.93 μB/f.u.



Here is a relaxed structure of Hg4Pd4Pb3 from Alexandria. Energies are from PBE-GGA.

abc: 3.4423 8.4374 16.7243
angles: 90.00 90.00 90.00
Last column: nearest neighbours and their distance in Å.
Space group Immm (No. 71)
One atom of each set of equivalent atoms:
Hg  0.0000  0.1844  0.1640  4 Pd 2.85-2.93, 1 Hg 3.11
Pd  0.0000  0.2842  0.0000  2 Hg 2.87, 6 Pb 2.95-3.00
Pd  0.0000  0.5000  0.2368  6 Hg 2.85-2.93, 2 Pb 2.88
Pb  0.0000  0.0000  0.4016  6 Pd 2.88-3.00
Pb  0.0000  0.5000  0.5000  4 Pd 2.95

## Properties
**Crystal system**: orthorhombic
**Formation enthalpy at 0 K**: -0.11 eV per atom
**Spin magnetization**: 0.00 μB/f.u.



Here is a relaxed structure of KTl2Se2 from Alexandria. Energies are from PBE-GGA.

abc: 4.6796 4.6796 14.5253
angles: 90.00 90.00 90.00
Last column: nearest neighbours and their distance in Å.
Space group I4/mmm (No. 139)
One atom of each set of equivalent atoms:
K  0.0000  0.0000  0.0000  8 Se 3.55
Tl  0.0000  0.5000  0.2500  4 Tl 3.31, 4 Se 3.32
Se  0.0000  0.0000  0.4118  1 Se 2.56

## Properties
**Crystal system**: tetragonal
**E_tot**: -30.50 eV per cell
**Spin magnetization**: 0.00 μB/f.u.



Here is a relaxed structure of TiCrRuS2 from Alexandria. Energies are from PBE-GGA.

abc: 4.5982 4.5982 4.5003
angles: 90.00 90.00 90.00
Last column: nearest neighbours and their distance in Å.
Space group P4/mmm (No. 123)
One atom of each set of equivalent atoms:
Ti  0.0000  0.0000  0.0000  2 Ru 2.25, 4 S 2.30
Cr  0.5000  0.5000  0.5000  8 S 3.22, 4 Ru 3.25
Ru  0.0000  0.0000  0.5000  2 Ti 2.25
S  0.0000  0.5000  0.0000  2 Ti 2.30

## Properties
**Crystal system**: tetragonal
**E_tot**: -30.70 eV per cell
**Spin magnetization**: 0.29 μB/f.u.